(1)
Below is a relaxed structure of KZrSb, with properties calculated at the GGA-PBEsol level.

POSCAR file:
```
KZrSb
1.0
3.344 0.000 0.000
-1.672 2.896 0.000
0.000 0.000 8.609
K Zr Sb
1 1 1
direct
0.000 0.000 0.000
0.667 0.333 0.389
0.333 0.667 0.658
```

Calculated values
energy relative to the elements, uncorrected = 0.097 eV/atom
SG = No. 156
total energy = -14.5 eV/cell
M_tot = 0.28 μB/f.u.

(2)
Below is a relaxed structure of YSiI2, with properties calculated at the GGA-PBEsol level.

POSCAR file:
```
YSiI2
1.0
0.000 3.727 3.727
3.727 0.000 3.727
3.727 3.727 0.000
Y Si I
1 1 2
direct
0.000 0.000 0.000
0.500 0.500 0.500
0.250 0.250 0.250
0.750 0.750 0.750
```

Calculated values
energy relative to the elements, uncorrected = -0.202 eV/atom
SG = No. 225
total energy = -16.9 eV/cell
M_tot = 0.00 μB/f.u.

(3)
Below is a relaxed structure of TaS2ClF, with properties calculated at the GGA-PBEsol level.

POSCAR file:
```
TaS2ClF
1.0
4.675 0.000 0.000
0.000 4.675 0.000
0.000 0.000 4.772
Ta S Cl F
1 2 1 1
direct
0.000 0.000 0.000
0.000 0.500 0.000
0.500 0.000 0.000
0.000 0.000 0.500
0.500 0.500 0.500
```

Calculated values
energy relative to the elements, uncorrected = -0.547 eV/atom
SG = No. 123
total energy = -28.0 eV/cell
M_tot = 0.62 μB/f.u.

(4)
Below is a relaxed structure of Ta2HgTe, with properties calculated at the GGA-PBEsol level.

POSCAR file:
```
Ta2HgTe
1.0
0.000 3.422 3.422
3.422 0.000 3.422
3.422 3.422 0.000
Ta Hg Te
2 1 1
direct
0.000 0.000 0.000
0.250 0.250 0.250
0.750 0.750 0.750
0.500 0.500 0.500
```

Calculated values
energy relative to the elements, uncorrected = 0.680 eV/atom
SG = No. 216
total energy = -26.5 eV/cell
M_tot = 0.00 μB/f.u.

(5)
Below is a relaxed structure of KMn2Mo2O10, with properties calculated at the GGA-PBEsol level.

POSCAR file:
```
KMn2Mo2O10
1.0
4.918 -2.919 0.000
4.918 2.919 0.000
-3.570 0.000 7.787
K Mn Mo O
1 2 2 10
direct
0.000 0.000 0.000
0.000 0.500 0.500
0.500 0.000 0.500
0.439 0.439 0.258
0.561 0.561 0.742
0.189 0.189 0.577
0.201 0.687 0.710
0.311 0.311 0.049
0.313 0.799 0.290
0.338 0.338 0.398
0.662 0.662 0.602
0.687 0.201 0.710
0.689 0.689 0.951
0.799 0.313 0.290
0.811 0.811 0.423
```

Calculated values
energy relative to the elements, uncorrected = -1.787 eV/atom
SG = No. 12
total energy = -123.5 eV/cell
M_tot = 7.00 μB/f.u.

(6)
Below is a relaxed structure of PPdICl2, with properties calculated at the GGA-PBEsol level.

POSCAR file:
```
PPdICl2
1.0
4.700 0.000 0.000
0.000 4.700 0.000
0.000 0.000 4.862
P Pd I Cl
1 1 1 2
direct
0.000 0.000 0.000
0.000 0.000 0.500
0.500 0.500 0.000
0.000 0.500 0.500
0.500 0.000 0.500
```

Calculated values
energy relative to the elements, uncorrected = 0.135 eV/atom
SG = No. 123
total energy = -16.9 eV/cell
M_tot = 0.00 μB/f.u.

Q: Which value of total energy does entry 3 give?
A: -28.0 eV/cell